DFT (GGA-PBE) results for crystalline ReRhPb4 at its relaxed geometry.

ΔE_f ... 1411.5 meV/atom
Final energy ... -4.36 eV per atom
Fermi-level density of states ... 0.994 states/eV/atom

Unit cell a=6.1468 b=6.1468 c=6.1468 alpha=60.00 beta=60.00 gamma=60.00
With the nearest neighbours (Å) after each atom.
Fractional coordinates of all 6 atoms:
Re: 0.0000 0.0000 0.0000  12 Pb 3.60, 4 Rh 3.76
Rh: 0.7500 0.7500 0.7500  12 Pb 3.60, 4 Re 3.76
Pb: 0.3750 0.3750 0.3750  6 Pb 3.07
Pb: 0.3750 0.3750 0.8751  6 Pb 3.07
Pb: 0.3750 0.8751 0.3750  6 Pb 3.07
Pb: 0.8751 0.3750 0.3750  6 Pb 3.07